Arrangement A

NaLa2H: relaxed, PBE-GGA.

Unit cell a=5.383 b=5.383 c=5.383 alpha=60.00 beta=60.00 gamma=60.00
Atoms (fractional coordinates):
Na (0.500, 0.500, 0.500)
H (0.000, 0.000, 0.000)
La (0.250, 0.250, 0.250)
La (0.750, 0.750, 0.750)

- SG: Fm-3m
- Total moment: 0.02 μB/cell

Arrangement B

NaLa2H: relaxed, PBE-GGA.

Unit cell a=3.680 b=3.680 c=9.932 alpha=79.00 beta=79.00 gamma=59.92
Atoms (fractional coordinates):
Na (0.500, 0.500, 0.499)
La (0.053, 0.053, 0.846)
La (0.280, 0.280, 0.154)
H (0.667, 0.667, 0.000)

- SG: Cm
- Total moment: 0.00 μB/cell

Arrangement C

NaLa2H: relaxed, PBE-GGA.

Unit cell a=7.530 b=7.530 c=6.679 alpha=55.69 beta=55.69 gamma=90.00
Atoms (fractional coordinates):
Na (0.000, 0.000, 0.000)
Na (0.750, 0.250, 0.500)
H (0.500, 0.500, 0.000)
H (0.250, 0.750, 0.500)
La (0.508, 0.125, 0.250)
La (0.242, 0.625, 0.250)
La (0.375, 0.492, 0.750)
La (0.875, 0.758, 0.750)

- SG: I-42d
- Total moment: 0.00 μB/cell

Arrangement D

NaLa2H: relaxed, PBE-GGA.

Unit cell a=3.602 b=3.602 c=10.488 alpha=80.11 beta=80.11 gamma=60.00
Atoms (fractional coordinates):
Na (0.000, 0.000, 0.000)
H (0.500, 0.500, 0.500)
La (0.117, 0.117, 0.648)
La (0.883, 0.883, 0.352)

- SG: R-3m
- Total moment: 0.00 μB/cell

Stability check: which of them is most stable? arrangement B.